DFT (PBE) results for crystalline Na2TbI5 at its relaxed geometry.

Values from the calculation:
Calculated density: 2.6 g/cm3
ΔE to the lowest computed polymorph: 33.5 meV/atom
V: 541.4 Å³/f.u.

Cell lengths 9.3675, 9.3675, 8.7774 Å; angles 117.83, 117.83, 55.88 degrees
Last column: nearest neighbours and their distance in Å.
Sites, in units of the cell vectors:
Na 0.0000 0.0000 0.0000  4 I 3.13
Na 0.5001 0.5001 0.4991  4 I 3.13
Tb 0.9185 0.9185 0.4193  5 I 2.86-3.04
I 0.2077 0.7340 0.2336  1 Tb 3.04, 2 Na 3.13
I 0.2112 0.7378 0.7108  1 Tb 3.04, 2 Na 3.13
I 0.7153 0.7153 0.2207  1 Tb 2.86
I 0.7340 0.2077 0.2336  1 Tb 3.04, 2 Na 3.13
I 0.7378 0.2112 0.7108  1 Tb 3.04, 2 Na 3.13